Density functional theory data (GGA-PBE) for crystalline BaHoCuS3 at its relaxed geometry.

* magnetization: 0.001 μB per cell

Cell: 8.507 3.999 8.900 Å, 90.00 106.14 90.00°
Space group P2_1/m (No. 11)
Asymmetric unit:
Ba1 0.197 0.250 0.245 [2 per cell]
Ho1 0.326 0.750 0.838 [2 per cell]
Cu1 0.085 0.250 0.593 [2 per cell]
S1 0.114 0.250 0.863 [2 per cell]
S2 0.208 0.750 0.525 [2 per cell]
S3 0.452 0.750 0.161 [2 per cell]


Density functional theory data (GGA-PBE) for crystalline UMoIr at its relaxed geometry.

* relative energy among the computed polymorphs: 157 meV per atom
* magnetization: 0.098 μB per cell

Cell: 6.278 6.278 6.278 Å, 90.00 90.00 90.00°
Space group F-43m (No. 216)
Asymmetric unit:
U1 0.000 0.000 0.000 [4 per cell]
Mo1 0.250 0.250 0.250 [4 per cell]
Ir1 0.250 0.250 0.750 [4 per cell]


Density functional theory data (GGA-PBE) for crystalline Co at its relaxed geometry.

* relative energy among the computed polymorphs: 269 meV per atom
* magnetization: 59.958 μB per cell

Cell: 7.738 3.460 27.688 Å, 90.00 90.48 90.00°
Space group C2/m (No. 12)
Asymmetric unit:
Co1 0.049 0.000 0.400 [4 per cell]
Co2 0.050 0.500 0.543 [4 per cell]
Co3 0.051 0.000 0.686 [4 per cell]
Co4 0.051 0.500 0.262 [4 per cell]
Co5 0.150 0.000 0.486 [4 per cell]
Co6 0.150 0.500 0.343 [4 per cell]
Co7 0.151 0.500 0.628 [4 per cell]
Co8 0.249 0.500 0.713 [4 per cell]
Co9 0.250 0.000 0.571 [4 per cell]


Density functional theory data (GGA-PBE) for crystalline GdTmNO at its relaxed geometry.

* relative energy among the computed polymorphs: 446 meV per atom
* magnetization: 0.006 μB per cell

Cell: 4.355 4.355 8.052 Å, 90.00 90.00 90.00°
Space group P4/nmm (No. 129, origin choice 2)
Asymmetric unit:
Gd1 0.250 0.250 0.101 [2 per cell]
Tm1 0.250 0.750 0.500 [2 per cell]
N1 0.250 0.250 0.571 [2 per cell]
O1 0.250 0.750 0.000 [2 per cell]


Density functional theory data (GGA-PBE) for crystalline DyTeAuO at its relaxed geometry.

* relative energy among the computed polymorphs: 465 meV per atom
* magnetization: 0.002 μB per cell

Cell: 4.431 6.261 6.830 Å, 90.00 90.00 90.00°
Space group Pmc2_1 (No. 26)
Asymmetric unit:
Dy1 0.000 0.182 0.000 [2 per cell]
Te1 0.500 0.348 0.277 [2 per cell]
Au1 0.500 0.241 0.669 [2 per cell]
O1 0.000 0.066 0.706 [2 per cell]


Density functional theory data (GGA-PBE) for crystalline KTbGaTe3 at its relaxed geometry.

* relative energy among the computed polymorphs: 0 meV per atom
* magnetization: 0.006 μB per cell

Cell: 4.795 15.304 11.707 Å, 90.00 90.00 90.00°
Space group Cmcm (No. 63)
Asymmetric unit:
K1 0.000 0.246 0.250 [4 per cell]
Tb1 0.000 0.000 0.000 [4 per cell]
Ga1 0.000 0.481 0.750 [4 per cell]
Te1 0.000 0.070 0.750 [4 per cell]
Te2 0.000 0.372 0.561 [8 per cell]


Density functional theory data (GGA-PBE) for crystalline HfSnAs at its relaxed geometry.

* relative energy among the computed polymorphs: 2 meV per atom
* magnetization: 1.204 μB per cell

Cell: 6.722 6.722 6.722 Å, 90.00 90.00 90.00°
Space group F-43m (No. 216)
Asymmetric unit:
Hf1 0.000 0.000 0.000 [4 per cell]
Sn1 0.250 0.250 0.250 [4 per cell]
As1 0.250 0.250 0.750 [4 per cell]


Density functional theory data (GGA-PBE) for crystalline NpTcW at its relaxed geometry.

* magnetization: 11.550 μB per cell

Cell: 6.187 6.187 6.187 Å, 90.00 90.00 90.00°
Space group F-43m (No. 216)
Asymmetric unit:
Np1 0.000 0.000 0.000 [4 per cell]
Tc1 0.000 0.000 0.500 [4 per cell]
W1 0.250 0.250 0.750 [4 per cell]


Density functional theory data (GGA-PBE) for crystalline ZnFeSiMo at its relaxed geometry.

* relative energy among the computed polymorphs: 141 meV per atom
* magnetization: 7.296 μB per cell

Cell: 5.941 5.941 5.941 Å, 90.00 90.00 90.00°
Space group F-43m (No. 216)
Asymmetric unit:
Zn1 0.000 0.000 0.000 [4 per cell]
Fe1 0.000 0.000 0.500 [4 per cell]
Si1 0.250 0.250 0.250 [4 per cell]
Mo1 0.250 0.250 0.750 [4 per cell]


Density functional theory data (GGA-PBE) for crystalline Cd2InSeS2 at its relaxed geometry.

Cell: 7.319 12.904 7.701 Å, 90.00 110.52 90.00°
Space group Cc (No. 9)
Asymmetric unit:
Cd1 0.000 0.082 0.000 [4 per cell]
Cd2 0.000 0.256 0.492 [4 per cell]
In1 0.471 0.095 0.470 [4 per cell]
Se1 0.372 0.412 0.126 [4 per cell]
S1 0.377 0.260 0.633 [4 per cell]
S2 0.378 0.077 0.103 [4 per cell]


Density functional theory data (GGA-PBE) for crystalline Zr2ScCo at its relaxed geometry.

* magnetization: 9.858 μB per cell

Cell: 6.736 6.736 6.736 Å, 90.00 90.00 90.00°
Space group F-43m (No. 216)
Asymmetric unit:
Zr1 0.000 0.000 0.000 [4 per cell]
Zr2 0.250 0.250 0.250 [4 per cell]
Sc1 0.000 0.000 0.500 [4 per cell]
Co1 0.250 0.250 0.750 [4 per cell]


Density functional theory data (GGA-PBE) for crystalline NbFeAs at its relaxed geometry.

* magnetization: 5.171 μB per cell

Cell: 3.294 3.294 18.257 Å, 90.00 90.00 90.00°
Space group I4/mmm (No. 139)
Asymmetric unit:
Nb1 0.000 0.000 0.129 [4 per cell]
Fe1 0.000 0.000 0.443 [4 per cell]
As1 0.000 0.000 0.301 [4 per cell]


DFT total energy: -65.4, -118.2, -246.2, -59.7, -42.6, -95.2, -73.3, -134.8, -100.1, -77.2, -119.7, -90.4 (eV/cell)